CeScBi, relaxed, DFT PBE-GGA; electronic total energy = -5.8758 eV per atom; density = 7.99 Mg/m³; M_tot = 1.7 μB/f.u.; space group = C2/m; formation enthalpy at 0 K = -0.49 eV per atom
1.0
15.890 0.000 0.000
0.000 4.337 0.000
-0.266 0.000 4.754
Ce Sc Bi
4 4 4
Cartesian
1.021 0.000 0.984 Ce
6.658 2.168 3.770 Ce
8.966 2.168 0.984 Ce
14.604 0.000 3.770 Ce
3.820 2.168 1.184 Sc
3.859 0.000 3.570 Sc
11.765 0.000 1.184 Sc
11.804 2.168 3.570 Sc
1.605 2.168 3.447 Bi
6.074 0.000 1.307 Bi
9.550 0.000 3.447 Bi
14.019 2.168 1.307 Bi

=====

YMg2Pd2, relaxed, DFT PBE-GGA; electronic total energy = -4.6391 eV per atom; density = 5.68 Mg/m³; M_tot = 0.0 μB/f.u.; space group = I4/mmm; formation enthalpy at 0 K = -0.63 eV per atom
1.0
4.047 0.000 0.000
0.000 4.047 0.000
0.000 0.000 12.510
Y Mg Pd
2 4 4
Cartesian
0.000 0.000 0.000 Y
2.024 2.024 6.255 Y
0.000 2.024 3.128 Mg
0.000 2.024 9.383 Mg
2.024 0.000 3.128 Mg
2.024 0.000 9.383 Mg
0.000 0.000 4.917 Pd
0.000 0.000 7.593 Pd
2.024 2.024 1.338 Pd
2.024 2.024 11.172 Pd

=====

SnH4NCl3, relaxed, DFT PBE-GGA; electronic total energy = -4.2463 eV per atom; density = 2.25 Mg/m³; M_tot = 0.0 μB/f.u.; space group = P1
1.0
4.750 0.000 0.000
2.258 6.975 0.000
0.089 -0.017 10.820
Sn H N Cl
2 8 2 6
Cartesian
0.000 0.000 0.000 Sn
2.734 6.825 5.416 Sn
1.746 2.538 2.312 H
2.181 3.708 3.449 H
2.861 3.770 1.887 H
3.301 2.513 2.923 H
4.230 4.291 8.367 H
4.644 3.038 7.317 H
5.362 3.097 8.862 H
5.768 4.269 7.718 H
2.523 3.141 2.645 N
5.001 3.665 8.068 N
2.632 5.878 7.985 Cl
1.819 1.809 10.227 Cl
4.002 5.154 0.554 Cl
3.483 1.663 5.997 Cl
5.751 4.996 4.835 Cl
4.889 0.938 2.576 Cl

=====

MoS, relaxed, DFT PBE-GGA; electronic total energy = -7.9346 eV per atom; density = 5.65 Mg/m³; M_tot = 0.0 μB/f.u.; space group = P6_3/m
1.0
9.100 0.000 0.000
-4.550 7.881 0.000
0.000 0.000 3.149
Mo S
6 6
Cartesian
-1.706 4.975 0.787 Mo
1.095 3.917 0.787 Mo
3.939 1.010 2.362 Mo
0.611 6.871 0.787 Mo
3.456 3.965 2.362 Mo
6.256 2.906 2.362 Mo
-1.090 2.699 0.787 S
-1.668 7.475 0.787 S
1.793 2.294 2.362 S
2.757 5.588 0.787 S
6.218 0.406 2.362 S
5.640 5.182 2.362 S

=====

PaGaCo2H, relaxed, DFT PBE-GGA; electronic total energy = -6.3789 eV per atom; density = 10.57 Mg/m³; M_tot = 0.0 μB/f.u.; space group = Cmcm
1.0
1.968 -5.290 0.000
1.968 5.290 0.000
0.000 0.000 6.334
Pa Ga Co H
2 2 4 2
Cartesian
1.968 4.254 4.750 Pa
1.968 -4.254 1.583 Pa
1.968 3.330 1.583 Ga
1.968 -3.330 4.750 Ga
1.968 1.656 3.390 Co
1.968 1.656 6.111 Co
1.968 -1.656 0.223 Co
1.968 -1.656 2.944 Co
1.968 0.000 0.000 H
1.968 0.000 3.167 H

=====

Ba3InS, relaxed, DFT PBE-GGA; electronic total energy = -3.3936 eV per atom; density = 4.09 Mg/m³; M_tot = 1.0 μB/f.u.; space group = Pm-3m
1.0
6.098 0.000 0.000
0.000 6.098 0.000
0.000 0.000 6.098
Ba In S
3 1 1
Cartesian
0.000 0.000 3.049 Ba
0.000 3.049 0.000 Ba
3.049 0.000 0.000 Ba
3.049 3.049 3.049 In
0.000 0.000 0.000 S

=====

Li2La2Rh, relaxed, DFT PBE-GGA; electronic total energy = -4.2247 eV per atom; density = 5.84 Mg/m³; M_tot = 0.0 μB/f.u.; space group = P4/mbm; formation enthalpy at 0 K = -0.02 eV per atom
1.0
6.866 0.000 0.000
0.000 6.866 0.000
0.000 0.000 4.760
Li La Rh
4 4 2
Cartesian
0.909 2.524 0.000 Li
2.524 5.958 0.000 Li
4.342 0.909 0.000 Li
5.958 4.342 0.000 Li
1.305 4.739 2.380 La
2.128 1.305 2.380 La
4.739 5.561 2.380 La
5.561 2.128 2.380 La
0.000 0.000 0.000 Rh
3.433 3.433 0.000 Rh

=====

NbCCl2, relaxed, DFT PBE-GGA; electronic total energy = -4.7227 eV per atom; density = 4.16 Mg/m³; M_tot = 0.0 μB/f.u.; space group = R-3m
1.0
3.132 0.000 0.000
-1.566 2.712 0.000
0.000 0.000 24.788
Nb C Cl
3 3 6
Cartesian
0.000 0.000 0.000 Nb
0.000 1.808 16.525 Nb
1.566 0.904 8.263 Nb
0.000 0.000 12.394 C
0.000 1.808 4.131 C
1.566 0.904 20.657 C
0.000 0.000 10.058 Cl
0.000 0.000 14.729 Cl
0.000 1.808 1.796 Cl
0.000 1.808 6.467 Cl
1.566 0.904 18.321 Cl
1.566 0.904 22.992 Cl

=====

SnHgTe2I, relaxed, DFT PBE-GGA; electronic total energy = -2.1958 eV per atom; density = 5.82 Mg/m³; M_tot = 0.0 μB/f.u.; space group = P4/mmm
1.0
5.770 0.000 0.000
0.000 5.770 0.000
0.000 0.000 6.011
Sn Hg Te I
1 1 2 1
Cartesian
0.000 0.000 0.000 Sn
2.885 2.885 3.005 Hg
0.000 2.885 0.000 Te
2.885 0.000 0.000 Te
0.000 0.000 3.005 I

=====

Ba6Sb2NF, relaxed, DFT PBE-GGA; electronic total energy = -4.1803 eV per atom; density = 5.43 Mg/m³; M_tot = 0.0 μB/f.u.; space group = Fm-3m
1.0
0.000 5.522 5.522
5.522 0.000 5.522
5.522 5.522 0.000
Ba Sb N F
6 2 1 1
Cartesian
5.522 5.522 2.688 Ba
5.522 2.688 5.522 Ba
8.355 5.522 5.522 Ba
2.688 5.522 5.522 Ba
5.522 8.355 5.522 Ba
5.522 5.522 8.355 Ba
2.761 2.761 2.761 Sb
8.282 8.282 8.282 Sb
0.000 0.000 0.000 N
5.522 5.522 5.522 F

=====

Ac4CdRu2, relaxed, DFT PBE-GGA; electronic total energy = -5.2500 eV per atom; density = 8.51 Mg/m³; M_tot = 0.0 μB/f.u.; space group = P1; formation enthalpy at 0 K = -0.12 eV per atom
1.0
7.739 0.000 0.000
-0.697 7.914 0.000
-2.333 -2.444 7.786
Ac Cd Ru
8 2 4
Cartesian
0.000 0.000 0.000 Ac
-1.880 6.614 4.002 Ac
2.637 4.653 2.327 Ac
1.499 3.379 6.263 Ac
2.603 -0.550 5.203 Ac
3.725 0.639 1.554 Ac
5.517 2.634 4.927 Ac
6.677 4.125 1.071 Ac
0.514 1.605 3.011 Cd
-0.363 0.424 7.080 Cd
0.471 6.795 2.399 Ru
3.014 2.100 4.028 Ru
4.900 6.278 1.198 Ru
3.765 4.910 5.111 Ru

=====

Ag2Pd7Au2, relaxed, DFT PBE-GGA; electronic total energy = -4.3017 eV per atom; density = 11.91 Mg/m³; M_tot = 0.0 μB/f.u.; space group = C2/m; formation enthalpy at 0 K = 0.12 eV per atom
1.0
3.632 -4.278 0.000
3.632 4.278 0.000
-1.836 0.000 6.075
Ag Pd Au
2 7 2
Cartesian
0.096 0.000 2.042 Ag
5.332 0.000 4.033 Ag
1.756 2.323 2.016 Pd
2.141 0.000 0.131 Pd
3.672 2.323 4.059 Pd
2.714 0.000 3.038 Pd
1.756 -2.323 2.016 Pd
3.288 0.000 5.944 Pd
3.672 -2.323 4.059 Pd
3.632 2.315 0.000 Au
3.632 -2.315 0.000 Au